## MgCo2As (GGA-PBE)

Data for MgCo2As after structural relaxation.

a = 2.968 Å, b = 2.968 Å, c = 6.022 Å
α = 90.00°, β = 90.00°, γ = 90.00°
Site moments in Bohr magnetons follow the coordinates.
Atoms (fractional coordinates):
As1 0.500 0.500 0.750  0.00
Co1 0.000 0.000 0.967  0.68
Co2 0.000 0.000 0.533  0.68
Mg1 0.500 0.500 0.250  -0.01

Values from the calculation:
energy relative to the elements	-42	meV/atom
density of states at the Fermi level	1.79	states/eV per cell
total magnetization	1.3	μB/f.u.
E	-5.16	eV per atom

---

## ZrV3Ir (GGA-PBE)

Data for ZrV3Ir after structural relaxation.

a = 4.625 Å, b = 4.625 Å, c = 4.625 Å
α = 90.00°, β = 90.00°, γ = 90.00°
Site moments in Bohr magnetons follow the coordinates.
Atoms (fractional coordinates):
Ir1 0.000 0.000 0.000  -0.07
Zr1 0.500 0.500 0.500  0.04
V1 0.000 0.500 0.000  0.85
V2 0.000 0.000 0.500  0.85
V3 0.500 0.000 0.000  0.85

Values from the calculation:
energy relative to the elements	719	meV/atom
density of states at the Fermi level	7.76	states/eV per cell
total magnetization	2.9	μB/f.u.
E	-8.23	eV per atom
distance to the lowest polymorph of the same formula	0.000	eV per formula unit